NaSmAuS2 | GGA-PBE | optimized geometry

Values from the calculation:
Raw formation energy, eV/atom: -1.066
Density of states at the Fermi level, states/eV/cell: 5.1
SG: No. 13

```
NaSmAuS2
1.0
6.437 0.000 0.000
0.000 5.164 0.000
-0.100 0.000 7.663
Na Sm Au S
2 2 2 4
Direct
0.000 0.008 0.250
0.000 0.992 0.750
0.500 0.499 0.750
0.500 0.501 0.250
0.500 0.000 0.000
0.500 0.000 0.500
0.225 0.315 0.997
0.225 0.685 0.497
0.775 0.315 0.503
0.775 0.685 0.003
```